Material: LiCu2Pt
Method: DFT, GGA-PBE
State: relaxed

## Properties
The excess energy over the best structure of this formula in the dataset is 32 meV/atom. Its crystal system is monoclinic. The calculated formation energy is -244.9 meV/atom.

Unit cell a=2.769 b=4.463 c=4.571 alpha=101.78 beta=107.63 gamma=90.00
Positions (direct):
Li 0.499 0.502 0.998
Cu 0.003 0.005 0.006
Cu 0.744 0.244 0.488
Pt 0.254 0.749 0.508

Material: Ce2Si3Os
Method: DFT, GGA-PBE
State: relaxed

## Properties
Its crystal system is orthorhombic. As for the formation energy (no corrections): -0.69 eV per atom.

Unit cell a=5.804 b=5.804 c=8.213 alpha=111.04 beta=111.04 gamma=89.07
Positions (direct):
Si 0.834 0.834 0.668
Si 0.329 0.329 0.166
Si 0.166 0.166 0.332
Si 0.163 0.163 0.834
Si 0.671 0.671 0.834
Si 0.837 0.837 0.166
Ce 0.250 0.750 0.500
Ce 0.259 0.741 0.000
Ce 0.750 0.250 0.500
Ce 0.741 0.259 0.000
Os 0.666 0.666 0.331
Os 0.334 0.334 0.669